A geometry-optimized Pa3ReGe2 structure. Source: Alexandria via LeMat-Bulk, functional GGA-PBE.

Lattice parameters (Å, degrees): 12.1016 4.2706 10.1748 90.00 90.00 90.00
Last column: nearest neighbours and their distance in Å.
Atoms (fractional coordinates):
Pa1 0.0464 0.2500 0.0879  1 Re 2.82, 2 Pa 3.00, 5 Ge 3.01-3.06
Pa2 0.1275 0.7500 0.5605  3 Re 3.00-3.02, 5 Ge 3.04-3.19, 3 Pa 3.32-3.35
Pa3 0.2430 0.2500 0.7732  2 Re 2.89, 5 Ge 2.98-3.14
Pa4 0.2570 0.7500 0.2732  2 Re 2.89, 5 Ge 2.98-3.14
Pa5 0.3725 0.2500 0.0605  3 Re 3.00-3.02, 5 Ge 3.04-3.19, 3 Pa 3.32-3.35
Pa6 0.4536 0.7500 0.5879  1 Re 2.82, 2 Pa 3.00, 5 Ge 3.01-3.06
Pa7 0.5464 0.2500 0.4121  1 Re 2.82, 2 Pa 3.00, 5 Ge 3.01-3.06
Pa8 0.6275 0.7500 0.9395  3 Re 3.00-3.02, 5 Ge 3.04-3.19, 3 Pa 3.32-3.35
Pa9 0.7430 0.2500 0.7268  2 Re 2.89, 5 Ge 2.98-3.14
Pa10 0.7570 0.7500 0.2268  2 Re 2.89, 5 Ge 2.98-3.14
Pa11 0.8725 0.2500 0.4395  3 Re 3.00-3.02, 5 Ge 3.04-3.19, 3 Pa 3.32-3.35
Pa12 0.9536 0.7500 0.9121  1 Re 2.82, 2 Pa 3.00, 5 Ge 3.01-3.06
Re1 0.1118 0.2500 0.3543  3 Ge 2.63-2.64, 3 Pa 2.82-2.89
Re2 0.3882 0.7500 0.8543  3 Ge 2.63-2.64, 3 Pa 2.82-2.89
Re3 0.6118 0.2500 0.1457  3 Ge 2.63-2.64, 3 Pa 2.82-2.89
Re4 0.8882 0.7500 0.6457  3 Ge 2.63-2.64, 3 Pa 2.82-2.89
Ge1 0.0024 0.2500 0.7121  2 Re 2.63
Ge2 0.1991 0.7500 0.9836  1 Re 2.64
Ge3 0.3009 0.2500 0.4836  1 Re 2.64
Ge4 0.4976 0.7500 0.2121  2 Re 2.63
Ge5 0.5024 0.2500 0.7879  2 Re 2.63
Ge6 0.6991 0.7500 0.5164  1 Re 2.64
Ge7 0.8009 0.2500 0.0164  1 Re 2.64
Ge8 0.9976 0.7500 0.2879  2 Re 2.63

Summary:
Density: 12.94 g/cm3
ΔH_f (0 K): -349 meV/atom

A geometry-optimized Sc3TiAl structure. Source: Alexandria via LeMat-Bulk, functional GGA-PBE.

Lattice parameters (Å, degrees): 4.9302 4.9302 4.9302 90.00 90.00 90.00
Last column: nearest neighbours and their distance in Å.
Atoms (fractional coordinates):
Sc1 0.0000 0.0000 0.5000  2 Ti 2.47
Sc2 0.0000 0.5000 0.0000  2 Ti 2.47
Sc3 0.5000 0.0000 0.0000  2 Ti 2.47
Ti1 0.0000 0.0000 0.0000  6 Sc 2.47
Al1 0.5000 0.5000 0.5000  12 Sc 3.49

Summary:
Density: 2.91 g/cm3
ΔH_f (0 K): 620 meV/atom

Number 1: total magnetization 0.00 μB/f.u.. Number 2: total magnetization 0.00 μB/f.u..